A relaxed structure of BeNbCd2O, computed with PBE.

For the raw formation energy, the calculation gives 0.708 eV per atom. As for the total energy: -0.1253 hartree per atom. Its space group is P4/mmm, No. 123.

The structure in POSCAR format:
```
BeNbCd2O
1.0
4.4271 0.0000 0.0000
0.0000 4.4271 0.0000
0.0000 0.0000 4.5661
Be Nb Cd O
1 1 2 1
direct
0.0000 0.0000 0.0000
0.0000 0.0000 0.5000
0.0000 0.5000 0.0000
0.5000 0.0000 0.0000
0.5000 0.5000 0.5000
```